Entry 1:
Pr5Nd7 | PBE-GGA | optimized geometry

```
Pr5Nd7
1.0
9.6563 -1.8557 0.0000
9.6563 1.8557 0.0000
-6.4420 0.0000 11.9662
Pr Nd
5 7
direct
0.0000 0.0000 0.0000
0.1662 0.1662 0.4991
0.3060 0.3060 0.2496
0.6940 0.6940 0.7504
0.8338 0.8338 0.5009
0.0270 0.0270 0.7499
0.3335 0.3335 0.0007
0.3608 0.3608 0.7506
0.5000 0.5000 0.5000
0.6392 0.6392 0.2494
0.6665 0.6665 0.9993
0.9730 0.9730 0.2501
```

Properties
Its calculated formation energy is 4 meV/atom. The crystal system is monoclinic.



Entry 2:
Pt2AuO | PBE-GGA | optimized geometry

```
Pt2AuO
1.0
4.9592 0.0000 0.0000
0.0000 4.9592 0.0000
0.0000 0.0000 12.3721
Pt Au O
8 4 4
direct
0.0687 0.2500 0.1250
0.2500 0.5687 0.3750
0.2500 0.9313 0.8750
0.4313 0.2500 0.6250
0.5687 0.7500 0.6250
0.7500 0.0687 0.8750
0.7500 0.4313 0.3750
0.9313 0.7500 0.1250
0.0000 0.0000 0.5000
0.0000 0.5000 0.7500
0.5000 0.0000 0.2500
0.5000 0.5000 0.0000
0.0000 0.0000 0.0000
0.0000 0.5000 0.2500
0.5000 0.0000 0.7500
0.5000 0.5000 0.5000
```

Properties
The total energy comes out at -18.971 eV/f.u. The crystal system is tetragonal.



Entry 3:
ZnRe2Cl | PBE-GGA | optimized geometry

```
ZnRe2Cl
1.0
7.0980 0.0000 0.0000
0.0000 7.0980 0.0000
0.0000 0.0000 5.0862
Zn Re Cl
4 8 4
direct
0.0000 0.0000 0.0000
0.0000 0.5000 0.2500
0.5000 0.0000 0.7500
0.5000 0.5000 0.5000
0.1794 0.2500 0.6250
0.2500 0.6794 0.8750
0.2500 0.8206 0.3750
0.3206 0.2500 0.1250
0.6794 0.7500 0.1250
0.7500 0.1794 0.3750
0.7500 0.3206 0.8750
0.8206 0.7500 0.6250
0.0000 0.0000 0.5000
0.0000 0.5000 0.7500
0.5000 0.0000 0.2500
0.5000 0.5000 0.0000
```

Properties
The total energy comes out at -22.622 eV/f.u. The crystal system is tetragonal.